Record 1
Entry from Alexandria via LeMat-Bulk: crystalline AcPr2Dy at its relaxed geometry (PBE).

Unit cell a=4.278 b=4.278 c=8.145 alpha=90.00 beta=90.00 gamma=90.00
Space group P4/mmm (No. 123)
Inequivalent atoms, fractional coordinates:
Ac 0.000 0.000 0.000 x1
Pr 0.500 0.500 0.282 x2
Dy 0.000 0.000 0.500 x1

The calculation puts the final energy at -17.8 eV/f.u. The calculation puts the density of states at the Fermi level at 2.32 states/eV/atom.

Record 2
Entry from Alexandria via LeMat-Bulk: crystalline Ac2Pr4Dy7 at its relaxed geometry (PBE).

Unit cell a=6.2519 b=6.2519 c=13.6393 alpha=90.00 beta=90.00 gamma=120.00
Space group P-31m (No. 162)
Inequivalent atoms, fractional coordinates:
Ac 0.3333 0.6667 0.0000 x2
Pr 0.0000 0.0000 0.3925 x2
Pr 0.3333 0.6667 0.5000 x2
Dy 0.0000 0.0000 0.0000 x1
Dy 0.0000 0.3535 0.7839 x6

The calculation puts the final energy at -57.1 eV/f.u. The calculation puts the density of states at the Fermi level at 1.51 states/eV/atom.

Record 3
Entry from Alexandria via LeMat-Bulk: crystalline AcPr4Dy8 at its relaxed geometry (PBE).

Unit cell a=11.2026 b=11.2026 c=13.6805 alpha=90.00 beta=90.00 gamma=120.00
Space group R-3m (No. 166, hexagonal axes)
Inequivalent atoms, fractional coordinates:
Ac 0.0000 0.0000 0.0000 x3
Pr 0.0000 0.0000 0.5000 x3
Pr 0.0000 0.5000 0.5000 x9
Dy 0.0000 0.0000 0.2631 x6
Dy 0.0171 0.5085 0.2450 x18

The calculation puts the final energy at -53.2 eV/f.u. The calculation puts the density of states at the Fermi level at 1.65 states/eV/atom.

Record 4
Entry from Alexandria via LeMat-Bulk: crystalline Ac6PrDy at its relaxed geometry (PBE).

Unit cell a=5.513 b=5.513 c=11.044 alpha=90.00 beta=90.00 gamma=90.00
Space group P4/mmm (No. 123)
Inequivalent atoms, fractional coordinates:
Ac 0.000 0.000 0.000 x1
Ac 0.000 0.000 0.500 x1
Ac 0.000 0.500 0.248 x4
Pr 0.500 0.500 0.500 x1
Dy 0.500 0.500 0.000 x1

The calculation puts the final energy at -33.8 eV/f.u. The calculation puts the density of states at the Fermi level at 1.64 states/eV/atom.

Record 5
Entry from Alexandria via LeMat-Bulk: crystalline Ac7PrDy2 at its relaxed geometry (PBE).

Unit cell a=10.180 b=16.432 c=6.137 alpha=90.00 beta=90.00 gamma=90.00
Space group Cmmm (No. 65)
Inequivalent atoms, fractional coordinates:
Ac 0.000 0.000 0.000 x2
Ac 0.000 0.257 0.500 x4
Ac 0.185 0.374 0.000 x8
Pr 0.000 0.500 0.500 x2
Dy 0.000 0.201 0.000 x4

The calculation puts the final energy at -36.6 eV/f.u. The calculation puts the density of states at the Fermi level at 1.45 states/eV/atom.

Record 6
Entry from Alexandria via LeMat-Bulk: crystalline Ac4PrDy at its relaxed geometry (PBE).

Unit cell a=10.131 b=10.131 c=10.131 alpha=90.00 beta=90.00 gamma=90.00
Space group F-43m (No. 216)
Inequivalent atoms, fractional coordinates:
Ac 0.124 0.124 0.376 x16
Pr 0.000 0.000 0.000 x4
Dy 0.250 0.250 0.750 x4

The calculation puts the final energy at -23.7 eV/f.u. The calculation puts the density of states at the Fermi level at 1.54 states/eV/atom.

Record 7
Entry from Alexandria via LeMat-Bulk: crystalline AcPrDy4 at its relaxed geometry (PBE).

Unit cell a=10.788 b=13.464 c=6.755 alpha=90.00 beta=122.69 gamma=90.00
Space group C2/c (No. 15)
Inequivalent atoms, fractional coordinates:
Ac 0.000 0.071 0.250 x4
Pr 0.000 0.191 0.750 x4
Dy 0.158 0.425 0.742 x8
Dy 0.164 0.316 0.248 x8

The calculation puts the final energy at -26.9 eV/f.u. The calculation puts the density of states at the Fermi level at 1.64 states/eV/atom.

Record 8
Entry from Alexandria via LeMat-Bulk: crystalline AcPr6Dy2 at its relaxed geometry (PBE).

Unit cell a=5.863 b=10.121 c=10.861 alpha=90.00 beta=90.00 gamma=90.00
Space group Cmmm (No. 65)
Inequivalent atoms, fractional coordinates:
Ac 0.000 0.000 0.000 x2
Pr 0.000 0.000 0.341 x4
Pr 0.000 0.333 0.176 x8
Dy 0.000 0.333 0.500 x4

The calculation puts the final energy at -41.5 eV/f.u. The calculation puts the density of states at the Fermi level at 1.37 states/eV/atom.

Record 9
Entry from Alexandria via LeMat-Bulk: crystalline AcPrDy at its relaxed geometry (PBE).

Unit cell a=3.787 b=3.787 c=15.650 alpha=90.00 beta=90.00 gamma=90.00
Space group I4mm (No. 107)
Inequivalent atoms, fractional coordinates:
Ac 0.000 0.000 0.000 x2
Pr 0.000 0.000 0.325 x2
Dy 0.000 0.000 0.669 x2

The calculation puts the final energy at -13.4 eV/f.u. The calculation puts the density of states at the Fermi level at 1.64 states/eV/atom.

Record 10
Entry from Alexandria via LeMat-Bulk: crystalline AcPr4Dy5 at its relaxed geometry (PBE).

Unit cell a=3.688 b=3.688 c=25.402 alpha=90.00 beta=90.00 gamma=90.00
Space group P4/mmm (No. 123)
Inequivalent atoms, fractional coordinates:
Ac 0.000 0.000 0.000 x1
Pr 0.000 0.000 0.203 x2
Pr 0.000 0.000 0.401 x2
Dy 0.500 0.500 0.105 x2
Dy 0.500 0.500 0.302 x2
Dy 0.500 0.500 0.500 x1

The calculation puts the final energy at -46.0 eV/f.u. The calculation puts the density of states at the Fermi level at 1.46 states/eV/atom.

Record 11
Entry from Alexandria via LeMat-Bulk: crystalline AcPr12Dy7 at its relaxed geometry (PBE).

Unit cell a=12.5053 b=12.5053 c=15.6635 alpha=90.00 beta=90.00 gamma=120.00
Space group R-3 (No. 148, hexagonal axes)
Inequivalent atoms, fractional coordinates:
Ac 0.0000 0.0000 0.0000 x3
Pr 0.0106 0.4352 0.7094 x18
Pr 0.0538 0.5918 0.0893 x18
Dy 0.0000 0.0000 0.5000 x3
Dy 0.0465 0.1860 0.8000 x18

The calculation puts the final energy at -89.4 eV/f.u. The calculation puts the density of states at the Fermi level at 1.65 states/eV/atom.

Record 12
Entry from Alexandria via LeMat-Bulk: crystalline AcPr2Dy at its relaxed geometry (PBE).

Unit cell a=3.7548 b=3.7548 c=36.5222 alpha=90.00 beta=90.00 gamma=120.00
Space group R3m (No. 160, hexagonal axes)
Inequivalent atoms, fractional coordinates:
Ac 0.0000 0.0000 0.0000 x3
Pr 0.0000 0.0000 0.5796 x3
Pr 0.0000 0.0000 0.7543 x3
Dy 0.0000 0.0000 0.1668 x3

The calculation puts the final energy at -18.1 eV/f.u. The calculation puts the density of states at the Fermi level at 1.40 states/eV/atom.

Record 13
Entry from Alexandria via LeMat-Bulk: crystalline Ac5Pr6Dy at its relaxed geometry (PBE).

Unit cell a=5.442 b=10.670 c=16.242 alpha=90.00 beta=90.00 gamma=90.00
Space group Immm (No. 71)
Inequivalent atoms, fractional coordinates:
Ac 0.000 0.000 0.000 x2
Ac 0.000 0.000 0.338 x4
Ac 0.000 0.500 0.333 x4
Pr 0.000 0.246 0.500 x4
Pr 0.000 0.253 0.165 x8
Dy 0.000 0.500 0.000 x2

The calculation puts the final energy at -53.4 eV/f.u. The calculation puts the density of states at the Fermi level at 1.86 states/eV/atom.

Record 14
Entry from Alexandria via LeMat-Bulk: crystalline Ac8PrDy2 at its relaxed geometry (PBE).

Unit cell a=13.480 b=12.308 c=6.221 alpha=90.00 beta=102.86 gamma=90.00
Space group C2/m (No. 12)
Inequivalent atoms, fractional coordinates:
Ac 0.080 0.000 0.293 x4
Ac 0.111 0.245 0.810 x8
Ac 0.144 0.500 0.508 x4
Pr 0.000 0.500 0.000 x2
Dy 0.238 0.000 0.920 x4

The calculation puts the final energy at -42.9 eV/f.u. The calculation puts the density of states at the Fermi level at 1.52 states/eV/atom.

Record 15
Entry from Alexandria via LeMat-Bulk: crystalline AcPrDy at its relaxed geometry (PBE).

Unit cell a=3.7704 b=3.7704 c=27.4018 alpha=90.00 beta=90.00 gamma=120.00
Space group R3m (No. 160, hexagonal axes)
Inequivalent atoms, fractional coordinates:
Ac 0.0000 0.0000 0.0000 x3
Pr 0.0000 0.0000 0.4511 x3
Dy 0.0000 0.0000 0.2219 x3

The calculation puts the final energy at -13.3 eV/f.u. The calculation puts the density of states at the Fermi level at 1.27 states/eV/atom.

Record 16
Entry from Alexandria via LeMat-Bulk: crystalline Ac12Pr6Dy at its relaxed geometry (PBE).

Unit cell a=16.9113 b=16.9113 c=9.5563 alpha=90.00 beta=90.00 gamma=120.00
Space group R-3 (No. 148, hexagonal axes)
Inequivalent atoms, fractional coordinates:
Ac 0.0345 0.2767 0.3417 x18
Ac 0.0734 0.5631 0.6648 x18
Pr 0.0160 0.1347 0.6675 x18
Dy 0.0000 0.0000 0.0000 x3

The calculation puts the final energy at -81.9 eV/f.u. The calculation puts the density of states at the Fermi level at 1.90 states/eV/atom.

Record 17
Entry from Alexandria via LeMat-Bulk: crystalline Ac3Pr2Dy4 at its relaxed geometry (PBE).

Unit cell a=19.392 b=3.788 c=9.990 alpha=90.00 beta=115.61 gamma=90.00
Space group C2/m (No. 12)
Inequivalent atoms, fractional coordinates:
Ac 0.000 0.000 0.000 x2
Ac 0.146 0.000 0.662 x4
Pr 0.168 0.500 0.010 x4
Dy 0.020 0.500 0.330 x4
Dy 0.184 0.000 0.338 x4

The calculation puts the final energy at -40.0 eV/f.u. The calculation puts the density of states at the Fermi level at 1.37 states/eV/atom.

Record 18
Entry from Alexandria via LeMat-Bulk: crystalline AcPr2Dy5 at its relaxed geometry (PBE).

Unit cell a=8.668 b=11.394 c=12.524 alpha=95.29 beta=108.33 gamma=106.32
Space group P-1 (No. 2)
Inequivalent atoms, fractional coordinates:
Ac 0.026 0.403 0.180 x2
Ac 0.098 0.343 0.692 x2
Pr 0.224 0.091 0.567 x2
Pr 0.344 0.282 0.371 x2
Pr 0.414 0.220 0.883 x2
Pr 0.465 0.030 0.245 x2
Dy 0.040 0.972 0.252 x2
Dy 0.091 0.783 0.622 x2
Dy 0.148 0.154 0.055 x2
Dy 0.167 0.723 0.131 x2
Dy 0.215 0.534 0.497 x2
Dy 0.275 0.911 0.934 x2
Dy 0.294 0.468 0.008 x2
Dy 0.352 0.844 0.443 x2
Dy 0.407 0.661 0.808 x2
Dy 0.473 0.593 0.319 x2

The calculation puts the final energy at -36.3 eV/f.u. The calculation puts the density of states at the Fermi level at 1.71 states/eV/atom.

Record 19
Entry from Alexandria via LeMat-Bulk: crystalline Ac3Pr8Dy at its relaxed geometry (PBE).

Unit cell a=6.772 b=9.600 c=14.483 alpha=90.00 beta=90.00 gamma=90.00
Space group I222 (No. 23)
Inequivalent atoms, fractional coordinates:
Ac 0.000 0.000 0.000 x2
Ac 0.000 0.500 0.369 x4
Pr 0.131 0.342 0.101 x8
Pr 0.140 0.149 0.293 x8
Dy 0.000 0.000 0.500 x2

The calculation puts the final energy at -52.3 eV/f.u. The calculation puts the density of states at the Fermi level at 1.39 states/eV/atom.

Record 20
Entry from Alexandria via LeMat-Bulk: crystalline Ac3PrDy at its relaxed geometry (PBE).

Unit cell a=12.054 b=7.662 c=9.261 alpha=90.00 beta=102.47 gamma=90.00
Space group C2/m (No. 12)
Inequivalent atoms, fractional coordinates:
Ac 0.152 0.234 0.147 x8
Ac 0.163 0.500 0.498 x4
Pr 0.083 0.000 0.713 x4
Dy 0.082 0.500 0.832 x4

The calculation puts the final energy at -20.7 eV/f.u. The calculation puts the density of states at the Fermi level at 1.80 states/eV/atom.

Record 21
Entry from Alexandria via LeMat-Bulk: crystalline Ac3Pr4Dy4 at its relaxed geometry (PBE).

Unit cell a=3.687 b=5.880 c=18.948 alpha=98.86 beta=95.57 gamma=90.01
Space group P-1 (No. 2)
Inequivalent atoms, fractional coordinates:
Ac 0.000 0.000 0.000 x1
Ac 0.136 0.637 0.274 x2
Pr 0.265 0.265 0.531 x2
Pr 0.409 0.908 0.817 x2
Dy 0.318 0.817 0.635 x2
Dy 0.455 0.454 0.909 x2

The calculation puts the final energy at -49.2 eV/f.u. The calculation puts the density of states at the Fermi level at 1.60 states/eV/atom.

Number 1: energy relative to the elements 0.1101 eV per atom, magnetization 0.001 μB per formula unit. Number 2: energy relative to the elements 0.1860 eV per atom, magnetization 0.000 μB per formula unit. Number 3: energy relative to the elements 0.5273 eV per atom, magnetization 2.392 μB per formula unit. Number 4: energy relative to the elements 0.0273 eV per atom, magnetization 0.000 μB per formula unit. Number 5: energy relative to the elements 0.6130 eV per atom, magnetization 0.004 μB per formula unit. Number 6: energy relative to the elements 0.3469 eV per atom, magnetization 0.000 μB per formula unit. Number 7: energy relative to the elements 0.0611 eV per atom, magnetization 0.000 μB per formula unit. Number 8: energy relative to the elements 0.0522 eV per atom, magnetization 0.000 μB per formula unit. Number 9: energy relative to the elements 0.0463 eV per atom, magnetization 0.000 μB per formula unit. Number 10: energy relative to the elements 0.0287 eV per atom, magnetization 0.000 μB per formula unit. Number 11: energy relative to the elements 0.2119 eV per atom, magnetization 0.000 μB per formula unit. Number 12: energy relative to the elements 0.0418 eV per atom, magnetization 0.000 μB per formula unit. Number 13: energy relative to the elements 0.0319 eV per atom, magnetization 0.000 μB per formula unit. Number 14: energy relative to the elements 0.3579 eV per atom, magnetization 0.000 μB per formula unit. Number 15: energy relative to the elements 0.0582 eV per atom, magnetization 0.000 μB per formula unit. Number 16: energy relative to the elements 0.0340 eV per atom, magnetization 0.000 μB per formula unit. Number 17: energy relative to the elements 0.0360 eV per atom, magnetization 0.000 μB per formula unit. Number 18: energy relative to the elements 0.0420 eV per atom, magnetization 0.000 μB per formula unit. Number 19: energy relative to the elements 0.2413 eV per atom, magnetization 0.000 μB per formula unit. Number 20: energy relative to the elements 0.2064 eV per atom, magnetization 0.000 μB per formula unit. Number 21: energy relative to the elements 0.0563 eV per atom, magnetization 0.000 μB per formula unit.